Entry from Alexandria: a relaxed LiInIr2 crystal (PBE).

The space group is Immm (No. 71) and the conventional cell measures 2.9847, 4.6280 and 8.7519 Å, with angles of 90.00, 90.00 and 90.00 degrees. The inequivalent atoms are Li at (0.0000, 0.0000, 0.0000), In at (0.0000, 0.0000, 0.5000) and Ir at (0.0000, 0.5000, 0.2624).

For the calculated formation energy, the calculation gives -0.05 eV/atom. For the volume, the calculation gives 15.1 Å³ per atom.